# LiMnGaF6

A relaxed structure of LiMnGaF6 (GGA-PBEsol, Alexandria via LeMat-Bulk).

For the total magnetization, the calculation gives 15.0 μB/cell. The calculation puts the uncorrected formation energy at -2.62 eV/atom. The density is 4.023 g/cm³.

It has space group P321 (No. 150), with a = 8.6320 Å, b = 8.6320 Å, c = 4.7126 Å, α = 90.00°, β = 90.00° and γ = 120.00°. The distinct sites, in fractional coordinates, are Li at (0.0000, 0.7051, 0.0000), Mn at (0.0000, 0.3639, 0.5000), Ga at (0.0000, 0.0000, 0.5000), Ga at (0.3333, 0.6667, 0.9990), F at (0.0982, 0.2117, 0.7247), F at (0.1238, 0.5816, 0.7717) and F at (0.2224, 0.4547, 0.2225).